No. 1
This record from Alexandria describes crystalline Na2SrCd2 at its relaxed geometry. The functional is PBE-GGA.

Cell lengths 8.930, 8.930, 4.058 Å; angles 90.00, 90.00, 90.00 degrees
Atoms (fractional coordinates):
Na: 0.169 0.331 0.000
Na: 0.331 0.831 0.000
Na: 0.669 0.169 0.000
Na: 0.831 0.669 0.000
Sr: 0.000 0.000 0.500
Sr: 0.500 0.500 0.500
Cd: 0.121 0.621 0.500
Cd: 0.379 0.121 0.500
Cd: 0.621 0.879 0.500
Cd: 0.879 0.379 0.500

Values from the calculation:
magnetic moment: 0.000 μB/atom
calculated formation energy: -81 meV per atom
space-group type: P4/mbm (127)

No. 2
This record from Alexandria describes crystalline Na2SrCd2 at its relaxed geometry. The functional is PBE-GGA.

Cell lengths 9.016, 9.016, 3.711 Å; angles 90.00, 90.00, 90.00 degrees
Atoms (fractional coordinates):
Na: 0.119 0.381 0.000
Na: 0.381 0.881 0.000
Na: 0.619 0.119 0.000
Na: 0.881 0.619 0.000
Sr: 0.000 0.000 0.000
Sr: 0.500 0.500 0.000
Cd: 0.180 0.680 0.500
Cd: 0.320 0.180 0.500
Cd: 0.680 0.820 0.500
Cd: 0.820 0.320 0.500

Values from the calculation:
magnetic moment: 0.000 μB/atom
calculated formation energy: -83 meV per atom
space-group type: P4/mbm (127)

No. 3
This record from Alexandria describes crystalline Na3Sr3Cd2 at its relaxed geometry. The functional is PBE-GGA.

Cell lengths 8.788, 8.788, 4.605 Å; angles 90.00, 90.00, 120.00 degrees
Atoms (fractional coordinates):
Na: 0.000 0.765 0.000
Na: 0.235 0.235 0.000
Na: 0.765 0.000 0.000
Sr: 0.000 0.421 0.500
Sr: 0.421 0.000 0.500
Sr: 0.579 0.579 0.500
Cd: 0.333 0.667 0.000
Cd: 0.667 0.333 0.000

Values from the calculation:
magnetic moment: 0.000 μB/atom
calculated formation energy: -139 meV per atom
space-group type: P-62m (189)

No. 4
This record from Alexandria describes crystalline Na2SrCd at its relaxed geometry. The functional is PBE-GGA.

Cell lengths 8.171, 8.171, 8.171 Å; angles 90.00, 90.00, 90.00 degrees
Atoms (fractional coordinates):
Na: 0.000 0.000 0.000
Na: 0.000 0.500 0.500
Na: 0.250 0.250 0.250
Na: 0.250 0.750 0.750
Na: 0.500 0.000 0.500
Na: 0.500 0.500 0.000
Na: 0.750 0.250 0.750
Na: 0.750 0.750 0.250
Sr: 0.000 0.000 0.500
Sr: 0.000 0.500 0.000
Sr: 0.500 0.000 0.000
Sr: 0.500 0.500 0.500
Cd: 0.250 0.250 0.750
Cd: 0.250 0.750 0.250
Cd: 0.750 0.250 0.250
Cd: 0.750 0.750 0.750

Values from the calculation:
magnetic moment: 0.000 μB/atom
calculated formation energy: -72 meV per atom
space-group type: F-43m (216)

No. 5
This record from Alexandria describes crystalline Na3SrCd8 at its relaxed geometry. The functional is PBE-GGA.

Cell lengths 6.067, 6.067, 9.792 Å; angles 90.00, 90.00, 120.00 degrees
Atoms (fractional coordinates):
Na: 0.000 0.000 0.000
Na: 0.000 0.000 0.367
Na: 0.333 0.667 0.884
Sr: 0.333 0.667 0.500
Cd: 0.007 0.504 0.187
Cd: 0.325 0.162 0.692
Cd: 0.496 0.504 0.187
Cd: 0.496 0.993 0.187
Cd: 0.667 0.333 0.437
Cd: 0.667 0.333 0.940
Cd: 0.838 0.162 0.692
Cd: 0.838 0.675 0.692

Values from the calculation:
magnetic moment: 0.000 μB/atom
calculated formation energy: -180 meV per atom
space-group type: P3m1 (156)

No. 6
This record from Alexandria describes crystalline Na3Sr6Cd at its relaxed geometry. The functional is PBE-GGA.

Cell lengths 10.728, 6.315, 14.138 Å; angles 90.00, 109.76, 90.00 degrees
Atoms (fractional coordinates):
Na: 0.021 0.250 0.381
Na: 0.090 0.750 0.233
Na: 0.264 0.250 0.966
Na: 0.736 0.750 0.034
Na: 0.910 0.250 0.767
Na: 0.979 0.750 0.619
Sr: 0.012 0.750 0.907
Sr: 0.195 0.250 0.670
Sr: 0.278 0.750 0.509
Sr: 0.354 0.250 0.332
Sr: 0.376 0.750 0.846
Sr: 0.378 0.750 0.148
Sr: 0.622 0.250 0.852
Sr: 0.624 0.250 0.154
Sr: 0.646 0.750 0.668
Sr: 0.722 0.250 0.491
Sr: 0.805 0.750 0.330
Sr: 0.988 0.250 0.093
Cd: 0.467 0.250 0.595
Cd: 0.533 0.750 0.405

Values from the calculation:
magnetic moment: 0.000 μB/atom
calculated formation energy: -28 meV per atom
space-group type: P2_1/m (11)

No. 7
This record from Alexandria describes crystalline NaSrTbCd at its relaxed geometry. The functional is PBE-GGA.

Cell lengths 7.999, 7.999, 7.999 Å; angles 90.00, 90.00, 90.00 degrees
Atoms (fractional coordinates):
Na: 0.000 0.000 0.000
Na: 0.000 0.500 0.500
Na: 0.500 0.000 0.500
Na: 0.500 0.500 0.000
Sr: 0.250 0.250 0.250
Sr: 0.250 0.750 0.750
Sr: 0.750 0.250 0.750
Sr: 0.750 0.750 0.250
Tb: 0.250 0.250 0.750
Tb: 0.250 0.750 0.250
Tb: 0.750 0.250 0.250
Tb: 0.750 0.750 0.750
Cd: 0.000 0.000 0.500
Cd: 0.000 0.500 0.000
Cd: 0.500 0.000 0.000
Cd: 0.500 0.500 0.500

Values from the calculation:
magnetic moment: 0.000 μB/atom
calculated formation energy: 17 meV per atom
space-group type: F-43m (216)

No. 8
This record from Alexandria describes crystalline NaSrTl2Cd2 at its relaxed geometry. The functional is PBE-GGA.

Cell lengths 5.215, 5.215, 7.248 Å; angles 90.00, 90.00, 120.00 degrees
Atoms (fractional coordinates):
Na: 0.000 0.000 0.000
Sr: 0.000 0.000 0.500
Tl: 0.333 0.667 0.245
Tl: 0.667 0.333 0.755
Cd: 0.333 0.667 0.768
Cd: 0.667 0.333 0.232

Values from the calculation:
magnetic moment: 0.000 μB/atom
calculated formation energy: -213 meV per atom
space-group type: P-3m1 (164)

No. 9
This record from Alexandria describes crystalline NaSr2Tl7Cd2 at its relaxed geometry. The functional is PBE-GGA.

Cell lengths 4.722, 4.722, 16.789 Å; angles 95.08, 95.08, 89.21 degrees
Atoms (fractional coordinates):
Na: 0.000 0.000 0.000
Sr: 0.105 0.105 0.341
Sr: 0.895 0.895 0.659
Tl: 0.047 0.546 0.154
Tl: 0.299 0.299 0.540
Tl: 0.454 0.953 0.846
Tl: 0.500 0.500 0.000
Tl: 0.546 0.047 0.154
Tl: 0.701 0.701 0.460
Tl: 0.953 0.454 0.846
Cd: 0.415 0.415 0.721
Cd: 0.585 0.585 0.279

Values from the calculation:
magnetic moment: 0.000 μB/atom
calculated formation energy: -157 meV per atom
space-group type: C2/m (12)

No. 10
This record from Alexandria describes crystalline NaSr4TlCd2 at its relaxed geometry. The functional is PBE-GGA.

Cell lengths 10.217, 10.217, 10.217 Å; angles 33.28, 33.28, 33.28 degrees
Atoms (fractional coordinates):
Na: 0.000 0.000 0.000
Sr: 0.130 0.130 0.130
Sr: 0.381 0.381 0.381
Sr: 0.619 0.619 0.619
Sr: 0.870 0.870 0.870
Tl: 0.500 0.500 0.500
Cd: 0.254 0.254 0.254
Cd: 0.746 0.746 0.746

Values from the calculation:
magnetic moment: 0.000 μB/atom
calculated formation energy: -278 meV per atom
space-group type: R-3m (166)

No. 11
This record from Alexandria describes crystalline NaSr2TlCd at its relaxed geometry. The functional is PBE-GGA.

Cell lengths 6.326, 6.326, 5.284 Å; angles 90.00, 90.00, 90.00 degrees
Atoms (fractional coordinates):
Na: 0.000 0.000 0.000
Sr: 0.000 0.500 0.000
Sr: 0.500 0.000 0.000
Tl: 0.000 0.000 0.500
Cd: 0.500 0.500 0.500

Values from the calculation:
magnetic moment: 0.000 μB/atom
calculated formation energy: 257 meV per atom
space-group type: P4/mmm (123)

No. 12
This record from Alexandria describes crystalline NaSrTl2Cd at its relaxed geometry. The functional is PBE-GGA.

Cell lengths 6.165, 7.213, 6.902 Å; angles 90.00, 90.00, 90.00 degrees
Atoms (fractional coordinates):
Na: 0.250 0.000 0.109
Na: 0.750 0.000 0.891
Sr: 0.250 0.500 0.268
Sr: 0.750 0.500 0.732
Tl: 0.250 0.274 0.762
Tl: 0.250 0.726 0.762
Tl: 0.750 0.274 0.238
Tl: 0.750 0.726 0.238
Cd: 0.000 0.000 0.500
Cd: 0.500 0.000 0.500

Values from the calculation:
magnetic moment: 0.000 μB/atom
calculated formation energy: -176 meV per atom
space-group type: Pmma (51)